This record from Alexandria via LeMat-Bulk describes a geometry-optimized BSb3P structure. The functional is PBE.

Output
- Formation energy without anion corrections: 935 meV/atom
- Space-group type: Pm-3m, No. 221
- Density of states at the Fermi level: 0.92 states/eV/atom

Cell: 4.789 4.789 4.789 Å, 90.00 90.00 90.00°
Fractional coordinates of all 5 atoms:
Sb (0.000, 0.500, 0.000)
Sb (0.000, 0.000, 0.500)
Sb (0.500, 0.000, 0.000)
B (0.000, 0.000, 0.000)
P (0.500, 0.500, 0.500)